Density functional theory data (GGA-PBE) for crystalline Ac3GaSb at its relaxed geometry.

abc: 6.8882 11.2298 11.2447
angles: 117.37 90.00 90.00
Closest atoms and distances in Å follow each position.
Sites, in units of the cell vectors:
Ac1 0.2500 0.1164 0.8842  2 Ga 3.02
Ac2 0.0000 0.7500 0.7500  2 Ac 3.44, 2 Ga 3.45, 4 Sb 3.67
Ac3 0.2500 0.6164 0.3842  2 Ga 3.02
Ac4 0.7500 0.4314 0.0694  3 Ga 3.14-3.48
Ac5 0.5000 0.2500 0.2500  2 Ac 3.44, 2 Ga 3.45, 4 Sb 3.67
Ac6 0.5000 0.7500 0.7500  2 Ac 3.44, 2 Ga 3.45, 4 Sb 3.67
Ac7 0.7500 0.9314 0.5694  3 Ga 3.14-3.48
Ac8 0.2500 0.0686 0.4306  3 Ga 3.14-3.48
Ac9 0.2500 0.5686 0.9306  3 Ga 3.14-3.48
Ac10 0.7500 0.3836 0.6158  2 Ga 3.02
Ac11 0.7500 0.8836 0.1158  2 Ga 3.02
Ac12 0.0000 0.2500 0.2500  2 Ac 3.44, 2 Ga 3.45, 4 Sb 3.67
Sb1 0.2500 0.4270 0.5727  9 Ac 3.54-3.67
Sb2 0.7500 0.0730 0.9273  9 Ac 3.54-3.67
Sb3 0.7500 0.5730 0.4273  9 Ac 3.54-3.67
Sb4 0.2500 0.9270 0.0727  9 Ac 3.54-3.67
Ga1 0.2499 0.9060 0.5948  3 Ac 3.02-3.14
Ga2 0.7501 0.0940 0.4052  3 Ac 3.02-3.14
Ga3 0.7499 0.5940 0.9052  3 Ac 3.02-3.14
Ga4 0.2501 0.4060 0.0948  3 Ac 3.02-3.14

Calculated values
density	7503	kg/m³
calculated volume	193	Å³/f.u.
raw formation energy	-0.528	eV per atom
energy	-88.454	eV/cell
total moment	0.00	Bohr magnetons per cell

=====

Density functional theory data (GGA-PBE) for crystalline Ac2GaSb at its relaxed geometry.

abc: 5.6953 5.6953 5.6953
angles: 60.00 60.00 60.00
Closest atoms and distances in Å follow each position.
Sites, in units of the cell vectors:
Sb1 0.5000 0.5000 0.5000  8 Ac 3.49
Ac1 0.7500 0.7500 0.7500  4 Sb 3.49, 4 Ga 3.49
Ac2 0.2500 0.2500 0.2500  4 Sb 3.49, 4 Ga 3.49
Ga1 0.0000 0.0000 0.0000  8 Ac 3.49

Calculated values
density	8205	kg/m³
calculated volume	131	Å³/f.u.
raw formation energy	-0.596	eV per atom
energy	-17.749	eV/cell
total moment	0.00	Bohr magnetons per cell

=====

Density functional theory data (GGA-PBE) for crystalline Ac2GaSb at its relaxed geometry.

abc: 4.6276 4.8200 13.2113
angles: 100.51 90.00 90.00
Closest atoms and distances in Å follow each position.
Sites, in units of the cell vectors:
Ac1 0.7500 0.9395 0.8791  1 Sb 3.31, 6 Ga 3.41-3.42
Ac2 0.2500 0.3171 0.6342  5 Sb 3.34-3.36
Ac3 0.2500 0.0605 0.1209  1 Sb 3.31, 6 Ga 3.41-3.42
Ac4 0.7500 0.6829 0.3658  5 Sb 3.34-3.36
Ga1 0.2500 0.4675 0.9349  2 Ga 2.87
Ga2 0.7500 0.5325 0.0651  2 Ga 2.87
Sb1 0.2500 0.1879 0.3758  6 Ac 3.31-3.36
Sb2 0.7500 0.8121 0.6242  6 Ac 3.31-3.36

Calculated values
density	7399	kg/m³
calculated volume	145	Å³/f.u.
raw formation energy	-0.810	eV per atom
energy	-37.215	eV/cell
total moment	0.00	Bohr magnetons per cell

=====

Density functional theory data (GGA-PBE) for crystalline AcGaSb2 at its relaxed geometry.

abc: 5.5621 5.5621 5.5621
angles: 60.00 60.00 60.00
Closest atoms and distances in Å follow each position.
Sites, in units of the cell vectors:
Sb1 0.7500 0.7500 0.7500  4 Ac 3.41, 4 Ga 3.41
Sb2 0.2500 0.2500 0.2500  4 Ga 3.41, 4 Ac 3.41
Ga1 0.5000 0.5000 0.5000  8 Sb 3.41
Ac1 0.0000 0.0000 0.0000  8 Sb 3.41

Calculated values
density	7373	kg/m³
calculated volume	122	Å³/f.u.
raw formation energy	-0.354	eV per atom
energy	-16.798	eV/cell
total moment	0.00	Bohr magnetons per cell

=====

Density functional theory data (GGA-PBE) for crystalline Ac2GaSb at its relaxed geometry.

abc: 4.1530 4.1530 7.5215
angles: 90.00 90.00 90.00
Closest atoms and distances in Å follow each position.
Sites, in units of the cell vectors:
Sb1 0.5000 0.5000 0.5000  8 Ac 3.48, 2 Ga 3.76
Ac1 0.0000 0.0000 0.2518  4 Sb 3.48, 4 Ga 3.49, 2 Ac 3.73-3.79
Ac2 0.0000 0.0000 0.7482  4 Sb 3.48, 4 Ga 3.49, 2 Ac 3.73-3.79
Ga1 0.5000 0.5000 0.0000  8 Ac 3.49, 2 Sb 3.76

Calculated values
density	8262	kg/m³
calculated volume	130	Å³/f.u.
raw formation energy	-0.685	eV per atom
energy	-18.105	eV/cell
total moment	0.00	Bohr magnetons per cell

=====

Density functional theory data (GGA-PBE) for crystalline AcGa3Sb3 at its relaxed geometry.

abc: 7.6134 7.6134 7.6134
angles: 90.00 90.00 90.00
Closest atoms and distances in Å follow each position.
Sites, in units of the cell vectors:
Ac1 0.5000 0.5000 0.5000  12 Sb 4.26, 12 Ga 4.26
Ac2 0.0000 0.0000 0.0000  12 Sb 4.26, 12 Ga 4.26
Ga1 0.0000 0.5000 0.2500  4 Sb 2.69
Ga2 0.5000 0.2500 0.0000  4 Sb 2.69
Ga3 0.0000 0.5000 0.7500  4 Sb 2.69
Ga4 0.7500 0.0000 0.5000  4 Sb 2.69
Ga5 0.2500 0.0000 0.5000  4 Sb 2.69
Ga6 0.5000 0.7500 0.0000  4 Sb 2.69
Sb1 0.0000 0.7500 0.5000  4 Ga 2.69
Sb2 0.5000 0.0000 0.7500  4 Ga 2.69
Sb3 0.5000 0.0000 0.2500  4 Ga 2.69
Sb4 0.2500 0.5000 0.0000  4 Ga 2.69
Sb5 0.7500 0.5000 0.0000  4 Ga 2.69
Sb6 0.0000 0.2500 0.5000  4 Ga 2.69

Calculated values
density	6031	kg/m³
calculated volume	221	Å³/f.u.
raw formation energy	0.010	eV per atom
energy	-50.975	eV/cell
total moment	0.00	Bohr magnetons per cell

=====

Density functional theory data (GGA-PBE) for crystalline Ac2GaSb at its relaxed geometry.

abc: 5.2668 5.2668 6.5443
angles: 66.27 66.27 60.00
Closest atoms and distances in Å follow each position.
Sites, in units of the cell vectors:
Ga1 0.5000 0.5000 0.5000  6 Ac 3.35
Sb1 0.0000 0.0000 0.0000  6 Ac 3.39
Ac1 0.2470 0.2470 0.2589  3 Ga 3.35, 3 Sb 3.39
Ac2 0.7530 0.7530 0.7411  3 Ga 3.35, 3 Sb 3.39

Calculated values
density	7700	kg/m³
calculated volume	139	Å³/f.u.
raw formation energy	-0.615	eV per atom
energy	-17.824	eV/cell
total moment	0.00	Bohr magnetons per cell

=====

Density functional theory data (GGA-PBE) for crystalline AcGa2Sb at its relaxed geometry.

abc: 3.8667 3.8667 6.9613
angles: 90.00 90.00 90.00
Closest atoms and distances in Å follow each position.
Sites, in units of the cell vectors:
Ac1 0.5000 0.5000 0.5000  8 Ga 3.44, 2 Sb 3.48
Ga1 0.0000 0.0000 0.8002  1 Ga 2.78, 4 Sb 3.07
Ga2 0.0000 0.0000 0.1998  1 Ga 2.78, 4 Sb 3.07
Sb1 0.5000 0.5000 0.0000  8 Ga 3.07

Calculated values
density	7789	kg/m³
calculated volume	104	Å³/f.u.
raw formation energy	-0.331	eV per atom
energy	-15.608	eV/cell
total moment	0.00	Bohr magnetons per cell

=====

Density functional theory data (GGA-PBE) for crystalline AcGa2Sb at its relaxed geometry.

abc: 4.8494 4.8494 6.0420
angles: 66.34 66.34 60.00
Closest atoms and distances in Å follow each position.
Sites, in units of the cell vectors:
Ga1 0.7180 0.7180 0.8460  3 Sb 2.92, 3 Ga 3.25
Ga2 0.2820 0.2820 0.1540  3 Sb 2.92, 3 Ga 3.25
Ac1 0.5000 0.5000 0.5000  8 Ga 3.36-3.50
Sb1 0.0000 0.0000 0.0000  6 Ga 2.92

Calculated values
density	7434	kg/m³
calculated volume	109	Å³/f.u.
raw formation energy	-0.390	eV per atom
energy	-15.843	eV/cell
total moment	0.00	Bohr magnetons per cell

=====

Density functional theory data (GGA-PBE) for crystalline AcGaSb2 at its relaxed geometry.

abc: 4.5202 4.5202 7.6926
angles: 72.91 72.91 60.00
Closest atoms and distances in Å follow each position.
Sites, in units of the cell vectors:
Ga1 0.0000 0.0000 0.0000  6 Sb 3.00
Ac1 0.5000 0.5000 0.5000  6 Sb 3.37
Sb1 0.7352 0.7352 0.7943  3 Ga 3.00
Sb2 0.2648 0.2648 0.2057  3 Ga 3.00

Calculated values
density	7006	kg/m³
calculated volume	128	Å³/f.u.
raw formation energy	-0.306	eV per atom
energy	-16.603	eV/cell
total moment	0.00	Bohr magnetons per cell

=====

Density functional theory data (GGA-PBE) for crystalline Ac5Ga2Sb at its relaxed geometry.

abc: 8.9515 8.9515 9.4436
angles: 118.29 118.29 90.00
Closest atoms and distances in Å follow each position.
Sites, in units of the cell vectors:
Ac1 0.5000 0.5000 0.0000  4 Ga 3.45, 2 Sb 3.50
Ac2 0.1993 0.0141 0.7134  3 Ga 3.24-3.35
Ac3 0.3007 0.8007 0.2866  3 Ga 3.24-3.35
Ac4 0.9859 0.4859 0.2866  3 Ga 3.24-3.35
Ac5 0.0000 0.0000 0.0000  4 Ga 3.45, 2 Sb 3.50
Ac6 0.0141 0.5141 0.7134  3 Ga 3.24-3.35
Ac7 0.6993 0.1993 0.7134  3 Ga 3.24-3.35
Ac8 0.5141 0.6993 0.7134  3 Ga 3.24-3.35
Ac9 0.8007 0.9859 0.2866  3 Ga 3.24-3.35
Ac10 0.4859 0.3007 0.2866  3 Ga 3.24-3.35
Ga1 0.6421 0.1421 0.0000  8 Ac 3.24-3.45, 1 Ga 3.60
Ga2 0.1421 0.3579 0.0000  8 Ac 3.24-3.45, 1 Ga 3.60
Ga3 0.8579 0.6421 0.0000  8 Ac 3.24-3.45, 1 Ga 3.60
Ga4 0.3579 0.8579 0.0000  8 Ac 3.24-3.45, 1 Ga 3.60
Sb1 0.7500 0.7500 0.5000  10 Ac 3.50-3.69
Sb2 0.2500 0.2500 0.5000  10 Ac 3.50-3.69

Calculated values
density	8257	kg/m³
calculated volume	281	Å³/f.u.
raw formation energy	-0.551	eV per atom
energy	-70.246	eV/cell
total moment	0.00	Bohr magnetons per cell

=====

Density functional theory data (GGA-PBE) for crystalline AcGaSb2 at its relaxed geometry.

abc: 4.7509 4.9047 4.9047
angles: 90.00 90.00 90.00
Closest atoms and distances in Å follow each position.
Sites, in units of the cell vectors:
Sb1 0.0000 0.5000 0.0000  4 Ac 3.41, 4 Ga 3.41, 4 Sb 3.47
Sb2 0.0000 0.0000 0.5000  4 Ac 3.41, 4 Ga 3.41, 4 Sb 3.47
Ac1 0.5000 0.5000 0.5000  8 Sb 3.41, 4 Ga 3.47
Ga1 0.5000 0.0000 0.0000  8 Sb 3.41, 4 Ac 3.47

Calculated values
density	7850	kg/m³
calculated volume	114	Å³/f.u.
raw formation energy	-0.562	eV per atom
energy	-17.627	eV/cell
total moment	0.00	Bohr magnetons per cell

=====

Density functional theory data (GGA-PBE) for crystalline AcGa2Sb at its relaxed geometry.

abc: 4.6459 4.7889 4.7889
angles: 90.00 90.00 90.00
Closest atoms and distances in Å follow each position.
Sites, in units of the cell vectors:
Ga1 0.0000 0.0000 0.5000  4 Ac 3.34, 4 Sb 3.34, 4 Ga 3.39
Ga2 0.0000 0.5000 0.0000  4 Ac 3.34, 4 Sb 3.34, 4 Ga 3.39
Sb1 0.5000 0.0000 0.0000  8 Ga 3.34, 4 Ac 3.39
Ac1 0.5000 0.5000 0.5000  8 Ga 3.34, 4 Sb 3.39

Calculated values
density	7609	kg/m³
calculated volume	107	Å³/f.u.
raw formation energy	-0.504	eV per atom
energy	-16.301	eV/cell
total moment	0.00	Bohr magnetons per cell